# 1
Crystalline LaSbOs2 at its relaxed geometry, computed with PBE.

Results
As for the uncorrected formation energy: 0.387 eV per atom. The space-group type is P4/mmm, No. 123. The calculation puts the calculated volume at 19.83 Å³/atom.

Cell lengths 3.286, 3.286, 7.346 Å; angles 90.00, 90.00, 90.00 degrees
Sites, in units of the cell vectors:
La 0.000 0.000 0.000
Sb 0.000 0.000 0.500
Os 0.500 0.500 0.295
Os 0.500 0.500 0.705

# 2
Crystalline NbBi2Ru at its relaxed geometry, computed with PBE.

Results
The space-group type is Fm-3m, No. 225. The calculation puts the calculated volume at 20.64 Å³/atom. For the formation energy, the calculation gives 0.446 eV/atom.

Cell lengths 4.887, 4.887, 4.887 Å; angles 60.00, 60.00, 60.00 degrees
Sites, in units of the cell vectors:
Nb 0.000 0.000 0.000
Bi 0.250 0.250 0.250
Bi 0.750 0.750 0.750
Ru 0.500 0.500 0.500